PBE-GGA Cs2NbOs, optimized geometry; formation energy = 10.273 eV per formula unit; magnetic moment = 1.4035 μB/atom; space group = Fm-3m (225); Fermi-level density of states = 6.18 states/eV per cell; offset from the most stable computed form = 1.109 eV per atom; total DFT energy (no corrections) = -3.1835 eV/atom
1.0
4.5177 -3.4830 0.7039
2.5961 -0.3411 5.1166
-0.5126 -4.7666 3.1705
Cs Nb Os
2 1 1
Direct
0.2500 0.2500 0.2500
0.7500 0.7500 0.7500
0.0000 0.0000 0.0000
0.5000 0.5000 0.5000